1.
# TeSeS2Cl | Alexandria | GGA-PBE | optimized geometry
data_TeSeS2Cl
_cell_length_a 5.1475
_cell_length_b 5.1475
_cell_length_c 5.2578
_cell_angle_alpha 90.00
_cell_angle_beta 90.00
_cell_angle_gamma 90.00
_symmetry_space_group_name_H-M 'P 1'
_symmetry_Int_Tables_number 1
loop_
_symmetry_equiv_pos_as_xyz
'x,y,z'
loop_
_atom_site_label
_atom_site_fract_x
_atom_site_fract_y
_atom_site_fract_z
_atom_site_occupancy
S1 0.0000 0.5000 0.0000 1
Se1 0.5000 0.5000 0.5000 1
Cl1 0.0000 0.0000 0.5000 1
Te1 0.0000 0.0000 0.0000 1
S2 0.5000 0.0000 0.0000 1
# Density of states at the Fermi level (states/eV/atom): 0.55
# V (Å³/atom): 27.86
# E_form (uncorrected) (eV/f.u.): 3.23
# Final energy (eV per cell): -13.49
# Total moment (Bohr magnetons per cell): 2.979
# Space-group type: P4/mmm, No. 123

***

2.
# TiSeS2Cl | Alexandria | GGA-PBE | optimized geometry
data_TiSeS2Cl
_cell_length_a 4.7700
_cell_length_b 4.7700
_cell_length_c 4.6848
_cell_angle_alpha 90.00
_cell_angle_beta 90.00
_cell_angle_gamma 90.00
_symmetry_space_group_name_H-M 'P 1'
_symmetry_Int_Tables_number 1
loop_
_symmetry_equiv_pos_as_xyz
'x,y,z'
loop_
_atom_site_label
_atom_site_fract_x
_atom_site_fract_y
_atom_site_fract_z
_atom_site_occupancy
S1 0.5000 0.0000 0.0000 1
Se1 0.5000 0.5000 0.5000 1
Cl1 0.0000 0.0000 0.5000 1
S2 0.0000 0.5000 0.0000 1
Ti1 0.0000 0.0000 0.0000 1
# Density of states at the Fermi level (states/eV/atom): 0.81
# V (Å³/atom): 21.32
# E_form (uncorrected) (eV/f.u.): -1.25
# Final energy (eV per cell): -22.73
# Total moment (Bohr magnetons per cell): 1.190
# Space-group type: P4/mmm, No. 123

***

3.
# TiSeS2Cl | Alexandria | GGA-PBE | optimized geometry
data_TiSeS2Cl
_cell_length_a 4.8991
_cell_length_b 4.8991
_cell_length_c 4.6950
_cell_angle_alpha 90.00
_cell_angle_beta 90.00
_cell_angle_gamma 90.00
_symmetry_space_group_name_H-M 'P 1'
_symmetry_Int_Tables_number 1
loop_
_symmetry_equiv_pos_as_xyz
'x,y,z'
loop_
_atom_site_label
_atom_site_fract_x
_atom_site_fract_y
_atom_site_fract_z
_atom_site_occupancy
S1 0.5000 0.0000 0.0000 1
Se1 0.0000 0.0000 0.0000 1
S2 0.0000 0.5000 0.0000 1
Ti1 0.5000 0.5000 0.5000 1
Cl1 0.0000 0.0000 0.5000 1
# Density of states at the Fermi level (states/eV/atom): 1.17
# V (Å³/atom): 22.54
# E_form (uncorrected) (eV/f.u.): 2.44
# Final energy (eV per cell): -19.04
# Total moment (Bohr magnetons per cell): 0.404
# Space-group type: P4/mmm, No. 123

***

4.
# TlSeS2Cl | Alexandria | GGA-PBE | optimized geometry
data_TlSeS2Cl
_cell_length_a 4.8956
_cell_length_b 4.8956
_cell_length_c 5.2291
_cell_angle_alpha 90.00
_cell_angle_beta 90.00
_cell_angle_gamma 90.00
_symmetry_space_group_name_H-M 'P 1'
_symmetry_Int_Tables_number 1
loop_
_symmetry_equiv_pos_as_xyz
'x,y,z'
loop_
_atom_site_label
_atom_site_fract_x
_atom_site_fract_y
_atom_site_fract_z
_atom_site_occupancy
S1 0.5000 0.0000 0.0000 1
S2 0.0000 0.5000 0.0000 1
Cl1 0.0000 0.0000 0.5000 1
Se1 0.0000 0.0000 0.0000 1
Tl1 0.5000 0.5000 0.5000 1
# Density of states at the Fermi level (states/eV/atom): 0.18
# V (Å³/atom): 25.06
# E_form (uncorrected) (eV/f.u.): 0.24
# Final energy (eV per cell): -15.71
# Total moment (Bohr magnetons per cell): 0.000
# Space-group type: P4/mmm, No. 123

***

5.
# TlSeSCl2 | Alexandria | GGA-PBE | optimized geometry
data_TlSeSCl2
_cell_length_a 5.1849
_cell_length_b 5.1849
_cell_length_c 4.9281
_cell_angle_alpha 90.00
_cell_angle_beta 90.00
_cell_angle_gamma 90.00
_symmetry_space_group_name_H-M 'P 1'
_symmetry_Int_Tables_number 1
loop_
_symmetry_equiv_pos_as_xyz
'x,y,z'
loop_
_atom_site_label
_atom_site_fract_x
_atom_site_fract_y
_atom_site_fract_z
_atom_site_occupancy
Cl1 0.0000 0.5000 0.0000 1
Cl2 0.5000 0.0000 0.0000 1
Tl1 0.5000 0.5000 0.5000 1
S1 0.0000 0.0000 0.5000 1
Se1 0.0000 0.0000 0.0000 1
# Density of states at the Fermi level (states/eV/atom): 0.29
# V (Å³/atom): 26.50
# E_form (uncorrected) (eV/f.u.): -1.00
# Final energy (eV per cell): -14.67
# Total moment (Bohr magnetons per cell): 0.000
# Space-group type: P4/mmm, No. 123

***

6.
# Tl6Se2SCl | Alexandria | GGA-PBE | optimized geometry
data_Tl6Se2SCl
_cell_length_a 7.4397
_cell_length_b 7.4446
_cell_length_c 8.1800
_cell_angle_alpha 62.96
_cell_angle_beta 62.98
_cell_angle_gamma 60.03
_symmetry_space_group_name_H-M 'P 1'
_symmetry_Int_Tables_number 1
loop_
_symmetry_equiv_pos_as_xyz
'x,y,z'
loop_
_atom_site_label
_atom_site_fract_x
_atom_site_fract_y
_atom_site_fract_z
_atom_site_occupancy
Tl1 0.0523 0.4834 0.7809 1
Se1 0.4885 0.4890 0.5329 1
S1 0.8436 0.8432 0.4702 1
Tl2 0.8577 0.6700 0.2080 1
Tl3 0.6856 0.0531 0.7778 1
Se2 0.0461 0.0444 0.8642 1
Tl4 0.4850 0.6829 0.7800 1
Tl5 0.2639 0.8589 0.2080 1
Cl1 0.2704 0.2722 0.1849 1
Tl6 0.6685 0.2644 0.2082 1
# Density of states at the Fermi level (states/eV/atom): 0.50
# V (Å³/atom): 33.41
# E_form (uncorrected) (eV/f.u.): -3.98
# Final energy (eV per cell): -31.12
# Total moment (Bohr magnetons per cell): 0.000
# Space-group type: P1, No. 1

***

7.
# TlSeSCl2 | Alexandria | GGA-PBE | optimized geometry
data_TlSeSCl2
_cell_length_a 5.3602
_cell_length_b 5.3602
_cell_length_c 5.2496
_cell_angle_alpha 90.00
_cell_angle_beta 90.00
_cell_angle_gamma 90.00
_symmetry_space_group_name_H-M 'P 1'
_symmetry_Int_Tables_number 1
loop_
_symmetry_equiv_pos_as_xyz
'x,y,z'
loop_
_atom_site_label
_atom_site_fract_x
_atom_site_fract_y
_atom_site_fract_z
_atom_site_occupancy
Se1 0.5000 0.5000 0.5000 1
Cl1 0.0000 0.5000 0.0000 1
S1 0.0000 0.0000 0.5000 1
Tl1 0.0000 0.0000 0.0000 1
Cl2 0.5000 0.0000 0.0000 1
# Density of states at the Fermi level (states/eV/atom): 0.49
# V (Å³/atom): 30.17
# E_form (uncorrected) (eV/f.u.): 1.76
# Final energy (eV per cell): -11.91
# Total moment (Bohr magnetons per cell): 3.297
# Space-group type: P4/mmm, No. 123

***

8.
# TlSeS2Cl | Alexandria | GGA-PBE | optimized geometry
data_TlSeS2Cl
_cell_length_a 5.2063
_cell_length_b 5.2063
_cell_length_c 5.0681
_cell_angle_alpha 90.00
_cell_angle_beta 90.00
_cell_angle_gamma 90.00
_symmetry_space_group_name_H-M 'P 1'
_symmetry_Int_Tables_number 1
loop_
_symmetry_equiv_pos_as_xyz
'x,y,z'
loop_
_atom_site_label
_atom_site_fract_x
_atom_site_fract_y
_atom_site_fract_z
_atom_site_occupancy
Cl1 0.0000 0.0000 0.5000 1
Tl1 0.0000 0.0000 0.0000 1
S1 0.5000 0.0000 0.0000 1
Se1 0.5000 0.5000 0.5000 1
S2 0.0000 0.5000 0.0000 1
# Density of states at the Fermi level (states/eV/atom): 0.91
# V (Å³/atom): 27.48
# E_form (uncorrected) (eV/f.u.): 3.77
# Final energy (eV per cell): -12.18
# Total moment (Bohr magnetons per cell): 0.133
# Space-group type: P4/mmm, No. 123

***

9.
# Tl6SeS2Cl | Alexandria | GGA-PBE | optimized geometry
data_Tl6SeS2Cl
_cell_length_a 7.4061
_cell_length_b 7.4420
_cell_length_c 8.0161
_cell_angle_alpha 62.83
_cell_angle_beta 62.80
_cell_angle_gamma 60.18
_symmetry_space_group_name_H-M 'P 1'
_symmetry_Int_Tables_number 1
loop_
_symmetry_equiv_pos_as_xyz
'x,y,z'
loop_
_atom_site_label
_atom_site_fract_x
_atom_site_fract_y
_atom_site_fract_z
_atom_site_occupancy
Cl1 0.2590 0.2677 0.2057 1
Tl1 0.4584 0.6885 0.7793 1
Tl2 0.6959 0.0761 0.7760 1
Tl3 0.2772 0.8576 0.2012 1
Se1 0.8396 0.8413 0.4784 1
Tl4 0.0743 0.4538 0.7803 1
S1 0.0518 0.0417 0.8636 1
Tl5 0.6610 0.2787 0.2038 1
S2 0.4916 0.4888 0.5274 1
Tl6 0.8529 0.6674 0.1996 1
# Density of states at the Fermi level (states/eV/atom): 0.58
# V (Å³/atom): 32.55
# E_form (uncorrected) (eV/f.u.): -3.74
# Final energy (eV per cell): -31.52
# Total moment (Bohr magnetons per cell): 0.000
# Space-group type: P1, No. 1

***

10.
# VSeSCl2 | Alexandria | GGA-PBE | optimized geometry
data_VSeSCl2
_cell_length_a 4.9618
_cell_length_b 4.9618
_cell_length_c 5.0137
_cell_angle_alpha 90.00
_cell_angle_beta 90.00
_cell_angle_gamma 90.00
_symmetry_space_group_name_H-M 'P 1'
_symmetry_Int_Tables_number 1
loop_
_symmetry_equiv_pos_as_xyz
'x,y,z'
loop_
_atom_site_label
_atom_site_fract_x
_atom_site_fract_y
_atom_site_fract_z
_atom_site_occupancy
Cl1 0.0000 0.5000 0.0000 1
V1 0.5000 0.5000 0.5000 1
Cl2 0.5000 0.0000 0.0000 1
S1 0.0000 0.0000 0.5000 1
Se1 0.0000 0.0000 0.0000 1
# Density of states at the Fermi level (states/eV/atom): 1.09
# V (Å³/atom): 24.69
# E_form (uncorrected) (eV/f.u.): 2.64
# Final energy (eV per cell): -17.78
# Total moment (Bohr magnetons per cell): 3.681
# Space-group type: P4/mmm, No. 123

***

11.
# VSeSCl2 | Alexandria | GGA-PBE | optimized geometry
data_VSeSCl2
_cell_length_a 4.6564
_cell_length_b 4.6564
_cell_length_c 4.7175
_cell_angle_alpha 90.00
_cell_angle_beta 90.00
_cell_angle_gamma 90.00
_symmetry_space_group_name_H-M 'P 1'
_symmetry_Int_Tables_number 1
loop_
_symmetry_equiv_pos_as_xyz
'x,y,z'
loop_
_atom_site_label
_atom_site_fract_x
_atom_site_fract_y
_atom_site_fract_z
_atom_site_occupancy
V1 0.0000 0.0000 0.0000 1
Cl1 0.0000 0.5000 0.0000 1
Cl2 0.5000 0.0000 0.0000 1
S1 0.0000 0.0000 0.5000 1
Se1 0.5000 0.5000 0.5000 1
# Density of states at the Fermi level (states/eV/atom): 1.25
# V (Å³/atom): 20.46
# E_form (uncorrected) (eV/f.u.): -0.37
# Final energy (eV per cell): -20.79
# Total moment (Bohr magnetons per cell): 1.206
# Space-group type: P4/mmm, No. 123

***

12.
# VSeSCl2 | Alexandria | GGA-PBE | optimized geometry
data_VSeSCl2
_cell_length_a 4.7606
_cell_length_b 5.0551
_cell_length_c 4.7606
_cell_angle_alpha 90.00
_cell_angle_beta 90.00
_cell_angle_gamma 90.00
_symmetry_space_group_name_H-M 'P 1'
_symmetry_Int_Tables_number 1
loop_
_symmetry_equiv_pos_as_xyz
'x,y,z'
loop_
_atom_site_label
_atom_site_fract_x
_atom_site_fract_y
_atom_site_fract_z
_atom_site_occupancy
S1 0.0000 0.0000 0.0000 1
Se1 0.0000 0.5000 0.0000 1
Cl1 0.0000 0.0000 0.5000 1
Cl2 0.5000 0.0000 0.0000 1
V1 0.5000 0.5000 0.5000 1
# Density of states at the Fermi level (states/eV/atom): 0.68
# V (Å³/atom): 22.91
# E_form (uncorrected) (eV/f.u.): 2.38
# Final energy (eV per cell): -18.04
# Total moment (Bohr magnetons per cell): 3.362
# Space-group type: P4/mmm, No. 123